This record from the Alexandria database describes a relaxed structure of TmMg2Ag2. The functional is PBE-GGA.

a b c (Å): 4.9107 4.9107 5.5302
angles (deg): 89.96 89.96 59.99
Last column: nearest neighbours and their distance in Å.
Fractional coordinates of all 5 atoms:
Ag  0.1667  0.6667  0.8572  2 Mg 2.73-2.80, 3 Tm 2.94
Ag  0.8333  0.3333  0.1428  2 Mg 2.73-2.80, 3 Tm 2.94
Mg  0.1666  0.6666  0.3639  2 Ag 2.73-2.80
Mg  0.8334  0.3334  0.6361  2 Ag 2.73-2.80
Tm  0.5000  0.0000  0.0000  6 Ag 2.94

Results
- polymorph energy (0 for the lowest one) (meV/atom) = 64
- ΔH_f (0 K) (eV/atom) = -0.166
- SG = P-3m1, No. 164
- uncorrected energy (eV per atom) = -2.84